(1)
A plane-wave DFT calculation with PBE was carried out for ThGeAsRh3 after structural relaxation.

a b c (Å): 6.705 11.767 5.723
angles (deg): 90.00 90.00 90.00
Space group Cmcm (No. 63)
Asymmetric unit:
1 Th 0.000 0.202 0.250 (multiplicity 4)
2 Ge 0.000 0.456 0.250 (multiplicity 4)
3 As 0.000 0.126 0.750 (multiplicity 4)
4 Rh 0.000 0.330 0.750 (multiplicity 4)
5 Rh 0.210 0.000 0.000 (multiplicity 8)

Output
As for the formation enthalpy at 0 K: -0.65 eV per atom. The value obtained for the total DFT energy (no corrections) is -170.480 eV per cell.


(2)
A plane-wave DFT calculation with PBE was carried out for K2ZrBr after structural relaxation.

a b c (Å): 6.606 3.810 11.400
angles (deg): 90.00 100.80 90.00
Space group C2/m (No. 12)
Asymmetric unit:
1 K 0.233 0.000 0.204 (multiplicity 4)
2 Zr 0.000 0.000 0.500 (multiplicity 2)
3 Br 0.000 0.500 0.000 (multiplicity 2)

Output
The value obtained for the total DFT energy (no corrections) is -25.625 eV per cell. The calculation puts the uncorrected formation energy at -99 meV per atom. The calculation puts the offset from the most stable computed form at 0.032 eV per atom.


(3)
A plane-wave DFT calculation with PBE was carried out for K5Rb2Au2 after structural relaxation.

a b c (Å): 17.973 5.176 14.132
angles (deg): 90.00 123.95 90.00
Space group C2/m (No. 12)
Asymmetric unit:
1 K 0.000 0.000 0.000 (multiplicity 2)
2 K 0.141 0.000 0.643 (multiplicity 4)
3 K 0.179 0.500 0.015 (multiplicity 4)
4 Rb 0.073 0.500 0.321 (multiplicity 4)
5 Au 0.088 0.000 0.836 (multiplicity 4)

Output
As for the formation enthalpy at 0 K: -0.11 eV per atom. The value obtained for the total DFT energy (no corrections) is -29.912 eV per cell.


(4)
A plane-wave DFT calculation with PBE was carried out for MgZrIn2Hg after structural relaxation.

a b c (Å): 5.615 5.615 5.513
angles (deg): 90.00 90.00 90.00
Space group P4/mmm (No. 123)
Asymmetric unit:
1 Mg 0.000 0.000 0.000 (multiplicity 1)
2 Zr 0.500 0.500 0.500 (multiplicity 1)
3 In 0.000 0.500 0.500 (multiplicity 2)
4 Hg 0.500 0.500 0.000 (multiplicity 1)

Output
As for the formation enthalpy at 0 K: 0.59 eV per atom. The value obtained for the total DFT energy (no corrections) is -12.986 eV per cell. The calculation puts the offset from the most stable computed form at 0.000 eV per atom.


(5)
A plane-wave DFT calculation with PBE was carried out for Li2CaRu after structural relaxation.

a b c (Å): 4.176 4.176 4.163
angles (deg): 90.00 90.00 90.00
Space group P4/mmm (No. 123)
Asymmetric unit:
1 Li 0.000 0.500 0.000 (multiplicity 2)
2 Ca 0.000 0.000 0.500 (multiplicity 1)
3 Ru 0.500 0.500 0.500 (multiplicity 1)

Output
As for the formation enthalpy at 0 K: 0.35 eV per atom. The value obtained for the total DFT energy (no corrections) is -13.722 eV per cell. The calculation puts the offset from the most stable computed form at 0.085 eV per atom.


(6)
A plane-wave DFT calculation with PBE was carried out for Hg4Se3 after structural relaxation.

a b c (Å): 5.809 5.809 5.809
angles (deg): 90.00 90.00 90.00
Space group Pm-3m (No. 221)
Asymmetric unit:
1 Hg 0.000 0.000 0.000 (multiplicity 1)
2 Hg 0.000 0.500 0.500 (multiplicity 3)
3 Se 0.000 0.000 0.500 (multiplicity 3)

Output
The value obtained for the total DFT energy (no corrections) is -11.740 eV per cell. The calculation puts the uncorrected formation energy at -11 meV per atom. The calculation puts the offset from the most stable computed form at 0.000 eV per atom.